Entry from Alexandria via LeMat-Bulk: a relaxed MoAs2BrO crystal (GGA+U).

Lattice parameters (Å, degrees): 4.961 4.961 5.284 90.00 90.00 90.00
Fractional coordinates of all 5 atoms:
Mo  0.000  0.000  0.000
As  0.000  0.500  0.000
As  0.500  0.000  0.000
Br  0.000  0.000  0.500
O  0.500  0.500  0.500

Computed properties:
The polymorph energy (0 for the lowest one) comes out at 13.74 kcal/mol of atoms. As for the density of states at the Fermi level: 1.033 states/eV per atom. Its space group is P4/mmm (123).